(1)
CdInP2 after structural relaxation. Source: Alexandria, functional GGA-PBE.

a = 3.9603 Å, b = 5.4995 Å, c = 7.6207 Å
α = 90.00°, β = 90.00°, γ = 90.00°
With the nearest neighbours (Å) after each atom.
Space group Immm (No. 71)
Symmetry-distinct sites (fractional):
Cd 0.0000 0.0000 0.0000 x2  4 P 2.76
In 0.0000 0.0000 0.5000 x2  4 P 2.74
P 0.0000 0.5000 0.2483 x4  2 In 2.74, 2 Cd 2.76

Properties
uncorrected energy = -3.21 eV per atom
crystal system = orthorhombic
V = 20.7 A^3/atom
N(E_F) = 0.480 states/eV/atom

---

(2)
AcSi2Pd6 after structural relaxation. Source: Alexandria, functional GGA-PBE.

a = 5.8607 Å, b = 5.8607 Å, c = 6.0827 Å
α = 90.00°, β = 90.00°, γ = 120.00°
With the nearest neighbours (Å) after each atom.
Space group P6/mmm (No. 191)
Symmetry-distinct sites (fractional):
Ac 0.0000 0.0000 0.0000 x1  12 Pd 3.24
Si 0.3333 0.6667 0.5000 x2  6 Pd 2.37
Pd 0.0000 0.5000 0.2276 x6  2 Si 2.37

Properties
uncorrected energy = -5.76 eV per atom
uncorrected formation energy = -633.0 meV/atom
crystal system = hexagonal
V = 20.1 A^3/atom
N(E_F) = 0.383 states/eV/atom

---

(3)
LiZn4Pt5 after structural relaxation. Source: Alexandria, functional GGA-PBE.

a = 2.9210 Å, b = 2.9210 Å, c = 16.7360 Å
α = 90.00°, β = 90.00°, γ = 90.00°
With the nearest neighbours (Å) after each atom.
Space group P4/mmm (No. 123)
Symmetry-distinct sites (fractional):
Li 0.0000 0.0000 0.0000 x1  8 Pt 2.58
Zn 0.0000 0.0000 0.1911 x2  8 Pt 2.64-2.69, 4 Zn 2.92
Zn 0.0000 0.0000 0.3967 x2  8 Pt 2.69, 4 Zn 2.92
Pt 0.5000 0.5000 0.0928 x2  4 Li 2.58, 4 Zn 2.64
Pt 0.5000 0.5000 0.2942 x2  8 Zn 2.69, 4 Pt 2.92
Pt 0.5000 0.5000 0.5000 x1  8 Zn 2.69, 4 Pt 2.92

Properties
uncorrected energy = -4.29 eV per atom
crystal system = tetragonal
V = 14.3 A^3/atom
N(E_F) = 0.223 states/eV/atom

---

(4)
SbMoSe after structural relaxation. Source: Alexandria, functional GGA-PBE.

a = 15.4806 Å, b = 6.1051 Å, c = 9.9310 Å
α = 90.00°, β = 120.61°, γ = 90.00°
With the nearest neighbours (Å) after each atom.
Space group Cc (No. 9)
Symmetry-distinct sites (fractional):
Sb 0.0000 0.1490 0.0000 x4  4 Mo 2.64-2.87
Sb 0.1952 0.1508 0.8319 x4  3 Mo 2.64-2.74
Sb 0.2534 0.3143 0.2781 x4  2 Mo 2.69-2.75, 1 Se 2.85
Mo 0.0206 0.0137 0.2673 x4  3 Se 2.54-2.64, 3 Sb 2.64-2.68
Mo 0.0699 0.4983 0.6872 x4  3 Se 2.47-2.65, 3 Sb 2.69-2.75
Mo 0.3775 0.0324 0.8716 x4  4 Se 2.56-2.82, 2 Sb 2.69-2.74
Se 0.0671 0.3582 0.4330 x4  4 Mo 2.54-2.76
Se 0.3373 0.3502 0.6802 x4  2 Mo 2.56-2.64, 1 Sb 2.85
Se 0.4117 0.1634 0.1451 x4  3 Mo 2.47-2.61

Properties
uncorrected energy = -6.16 eV per atom
uncorrected formation energy = -16.7 meV/atom
offset from the most stable computed form = 164 meV per atom
crystal system = monoclinic
V = 22.4 A^3/atom
N(E_F) = 0.470 states/eV/atom

---

(5)
RbAcAlO4 after structural relaxation. Source: Alexandria, functional GGA-PBE.

a = 6.2204 Å, b = 5.9289 Å, c = 7.8631 Å
α = 90.00°, β = 104.53°, γ = 90.00°
With the nearest neighbours (Å) after each atom.
Space group P2_1/m (No. 11)
Symmetry-distinct sites (fractional):
Rb 0.1869 0.2500 0.4202 x2  6 O 2.96-3.16
Ac 0.2798 0.2500 0.9465 x2  6 O 2.47-2.61
Al 0.2554 0.7500 0.1746 x2  4 O 1.76-1.79
O 0.0629 0.7500 0.3054 x2  1 Al 1.76
O 0.0791 0.7500 0.9556 x2  1 Al 1.79
O 0.4404 0.5195 0.1835 x4  1 Al 1.78

Properties
uncorrected energy = -6.54 eV per atom
uncorrected formation energy = -2450.0 meV/atom
crystal system = monoclinic
V = 20.1 A^3/atom
N(E_F) = 0.652 states/eV/atom

---

(6)
Y4ErAl after structural relaxation. Source: Alexandria, functional GGA-PBE.

a = 8.8038 Å, b = 13.7841 Å, c = 6.2343 Å
α = 90.00°, β = 108.54°, γ = 90.00°
With the nearest neighbours (Å) after each atom.
Space group C2/c (No. 15)
Symmetry-distinct sites (fractional):
Y 0.1000 0.1843 0.0459 x8  2 Al 3.08-3.11, 3 Y 3.33-3.44
Y 0.2192 0.3878 0.3757 x8  2 Al 3.20-3.22, 2 Y 3.33-3.44, 2 Er 3.40-3.48
Er 0.0000 0.4050 0.7500 x4  10 Y 3.40-3.77
Al 0.0000 0.0008 0.2500 x4  8 Y 3.08-3.22, 2 Al 3.12

Properties
uncorrected energy = -5.74 eV per atom
offset from the most stable computed form = 81 meV per atom
crystal system = monoclinic
V = 29.9 A^3/atom
N(E_F) = 1.464 states/eV/atom

---

Number 1: density 5.8 g/cm³. Number 2: density 8.5 g/cm³. Number 3: density 14.5 g/cm³. Number 4: density 7.3 g/cm³. Number 5: density 4.8 g/cm³. Number 6: density 5.1 g/cm³.